1.
This record from Alexandria describes an optimized crystal structure of Mg3Cd. The functional is PBE-GGA.

Structure (POSCAR):
```
Mg3Cd
1.0
6.2861 0.0000 0.0000
0.0000 8.6326 0.0000
0.0000 0.0000 3.3059
Mg Cd
6 2
Cartesian
0.0000 0.0000 0.0000
1.5715 2.1581 1.6530
1.5715 6.4744 1.6530
3.1430 4.3163 0.0000
4.7146 2.1581 1.6530
4.7146 6.4744 1.6530
0.0000 4.3163 0.0000
3.1430 0.0000 0.0000
```

**E**: -11.74 eV for the cell shown
**Magnetization**: 0.00 μB/f.u.
**ΔE_f**: -0.042 eV per atom
**Space group**: Cmmm (65)


2.
This record from Alexandria describes an optimized crystal structure of NaPuSnBi. The functional is PBE-GGA.

Structure (POSCAR):
```
NaPuSnBi
1.0
7.6669 0.0000 0.0000
0.0000 7.6669 0.0000
0.0000 0.0000 7.6669
Na Pu Sn Bi
4 4 4 4
Cartesian
0.0000 0.0000 0.0000
0.0000 3.8334 3.8334
3.8334 0.0000 3.8334
3.8334 3.8334 0.0000
0.0000 0.0000 3.8334
0.0000 3.8334 0.0000
3.8334 0.0000 0.0000
3.8334 3.8334 3.8334
1.9167 1.9167 5.7502
1.9167 5.7502 1.9167
5.7502 1.9167 1.9167
5.7502 5.7502 5.7502
1.9167 1.9167 1.9167
1.9167 5.7502 5.7502
5.7502 1.9167 5.7502
5.7502 5.7502 1.9167
```

**E**: -97.42 eV for the cell shown
**Magnetization**: 5.61 μB/f.u.
**ΔE_f**: -0.205 eV per atom
**Space group**: F-43m (216)


3.
This record from Alexandria describes an optimized crystal structure of LaFe2SiP6. The functional is PBE-GGA.

Structure (POSCAR):
```
LaFe2SiP6
1.0
3.0032 1.7339 6.3091
-3.0032 1.7339 6.3091
0.0000 -3.4679 6.3091
La Fe Si P
1 2 1 6
Cartesian
0.0000 0.0000 0.0000
0.0000 0.0000 6.0287
0.0000 0.0000 12.8986
0.0000 0.0000 9.4637
-1.3383 -0.7727 7.6506
0.0000 -1.5453 11.2767
-1.3383 0.7727 11.2767
1.3383 -0.7727 7.6507
0.0000 1.5453 7.6507
1.3383 0.7727 11.2767
```

**E**: -62.70 eV for the cell shown
**Magnetization**: 0.00 μB/f.u.
**Space group**: R-3m (166)